# 1
An optimized crystal structure of MnZnHIr2. Source: Alexandria, functional PBE.

Calculated values
The calculation puts the density at 14.257 g/cm³. The calculation puts the calculated volume at 11.78 Å³ per atom. The raw total energy is -6.366 eV per atom. The magnetic moment comes out at 3.72 μB per cell.

Cell lengths 3.989, 3.989, 3.702 Å; angles 90.00, 90.00, 90.00 degrees
Atoms (fractional coordinates):
H  0.000  0.000  0.000
Ir  0.000  0.500  0.000
Zn  0.500  0.500  0.500
Ir  0.500  0.000  0.000
Mn  0.000  0.000  0.500

# 2
An optimized crystal structure of CsBiSbPt2. Source: Alexandria, functional PBE.

Calculated values
The calculation puts the density at 8.552 g/cm³. The calculation puts the calculated volume at 33.16 Å³ per atom. The energy relative to the elements, uncorrected is 639 meV/atom. The distance to the lowest polymorph of the same formula comes out at 1044 meV per atom. The magnetic moment comes out at 0.00 μB per cell.

Cell lengths 5.097, 6.381, 5.097 Å; angles 90.00, 90.00, 90.00 degrees
Atoms (fractional coordinates):
Pt  0.000  0.000  0.500
Pt  0.500  0.000  0.000
Bi  0.500  0.500  0.500
Cs  0.000  0.500  0.000
Sb  0.000  0.000  0.000

# 3
An optimized crystal structure of PrSiRuF. Source: Alexandria, functional PBE.

Calculated values
The calculation puts the density at 6.785 g/cm³. The calculation puts the calculated volume at 17.69 Å³ per atom. The energy relative to the elements, uncorrected is -1850 meV/atom. The magnetic moment comes out at 0.00 μB per cell.

Cell lengths 4.209, 4.209, 7.988 Å; angles 90.00, 90.00, 90.00 degrees
Atoms (fractional coordinates):
Ru  0.500  0.500  0.000
Si  0.000  0.500  0.863
Pr  0.500  0.000  0.689
Pr  0.000  0.500  0.311
F  0.500  0.500  0.500
F  0.000  0.000  0.500
Si  0.500  0.000  0.137
Ru  0.000  0.000  0.000

# 4
An optimized crystal structure of Ce5DyTl8. Source: Alexandria, functional PBE.

Calculated values
The calculation puts the density at 9.698 g/cm³. The calculation puts the calculated volume at 30.55 Å³ per atom. The formation energy from the elements comes out at -0.1562 eV/atom. The magnetic moment comes out at 6.05 μB per cell.

Cell lengths 8.222, 8.222, 8.222 Å; angles 109.10, 110.21, 109.10 degrees
Atoms (fractional coordinates):
Tl  0.128  0.742  0.541
Ce  0.883  0.875  0.246
Tl  0.799  0.258  0.386
Tl  0.299  0.264  0.389
Ce  0.371  0.125  0.007
Tl  0.459  0.587  0.201
Tl  0.965  0.089  0.701
Tl  0.124  0.736  0.035
Dy  0.250  0.500  0.750
Ce  0.993  0.364  0.117
Ce  0.500  0.000  0.500
Tl  0.611  0.911  0.876
Ce  0.754  0.636  0.629
Tl  0.614  0.413  0.872

# 5
An optimized crystal structure of LaGe2PdRh. Source: Alexandria, functional PBE.

Calculated values
The calculation puts the density at 8.478 g/cm³. The calculation puts the calculated volume at 19.33 Å³ per atom. The distance to the lowest polymorph of the same formula comes out at 54 meV per atom. The formation energy from the elements comes out at -0.8371 eV/atom. The magnetic moment comes out at 0.00 μB per cell.

Cell lengths 4.300, 4.300, 6.048 Å; angles 110.83, 110.83, 90.00 degrees
Atoms (fractional coordinates):
Ge  0.624  0.624  0.248
Pd  0.250  0.750  0.500
Rh  0.750  0.250  0.500
Ge  0.376  0.376  0.752
La  0.000  0.000  0.000

# 6
An optimized crystal structure of IrRu2W. Source: Alexandria, functional PBE.

Calculated values
The calculation puts the density at 16.513 g/cm³. The calculation puts the calculated volume at 14.54 Å³ per atom. The distance to the lowest polymorph of the same formula comes out at 8 meV per atom. The formation energy from the elements comes out at -0.1711 eV/atom. The magnetic moment comes out at 0.00 μB per cell.

Cell lengths 4.396, 2.773, 4.770 Å; angles 90.00, 90.00, 90.00 degrees
Atoms (fractional coordinates):
Ru  0.000  0.875  0.051
W  0.000  0.375  0.536
Ru  0.500  0.375  0.204
Ir  0.500  0.875  0.709

# 7
An optimized crystal structure of Tm5Hg2Ir2Ru. Source: Alexandria, functional PBE.

Calculated values
The calculation puts the density at 12.467 g/cm³. The calculation puts the calculated volume at 23.06 Å³ per atom. The formation energy from the elements comes out at -0.5202 eV/atom. The magnetic moment comes out at 0.00 μB per cell.

Cell lengths 3.525, 11.438, 11.438 Å; angles 90.00, 90.00, 90.00 degrees
Atoms (fractional coordinates):
Ir  0.000  0.368  0.132
Tm  0.500  0.576  0.692
Ru  0.000  0.500  0.500
Hg  0.000  0.674  0.174
Ir  0.000  0.868  0.368
Tm  0.500  0.308  0.576
Tm  0.500  0.808  0.924
Hg  0.000  0.826  0.674
Tm  0.500  0.192  0.076
Ir  0.000  0.632  0.868
Tm  0.500  0.692  0.424
Hg  0.000  0.326  0.826
Tm  0.500  0.924  0.192
Ru  0.000  0.000  0.000
Tm  0.500  0.000  0.500
Hg  0.000  0.174  0.326
Tm  0.500  0.076  0.808
Ir  0.000  0.132  0.632
Tm  0.500  0.500  0.000
Tm  0.500  0.424  0.308

# 8
An optimized crystal structure of Tl5TeAs. Source: Alexandria, functional PBE.

Calculated values
The calculation puts the density at 8.430 g/cm³. The calculation puts the calculated volume at 34.46 Å³ per atom. The energy relative to the elements, uncorrected is -107 meV/atom. The magnetic moment comes out at 0.00 μB per cell.

Cell lengths 4.581, 8.272, 12.731 Å; angles 89.07, 90.00, 90.00 degrees
Atoms (fractional coordinates):
Tl  0.250  0.062  0.346
Tl  0.750  0.301  0.477
Tl  0.250  0.823  0.095
Tl  0.750  0.675  0.310
As  0.750  0.560  0.651
Tl  0.250  0.379  0.117
As  0.250  0.440  0.349
Tl  0.250  0.325  0.690
Te  0.750  0.096  0.154
Tl  0.750  0.177  0.905
Tl  0.750  0.938  0.654
Tl  0.750  0.621  0.883
Te  0.250  0.904  0.846
Tl  0.250  0.699  0.523